VASP calculation (PBE) on an optimized crystal structure of Y5HoTm2Sc.

Geometry as POSCAR:
```
Y5HoTm2Sc
1.0
2.795 -10.644 0.000
2.795 10.644 0.000
0.000 0.000 9.539
Y Ho Tm Sc
10 2 4 2
Direct
0.015 0.985 0.500
0.141 0.859 0.809
0.195 0.805 0.484
0.259 0.741 0.160
0.473 0.527 0.766
0.527 0.473 0.266
0.741 0.259 0.660
0.805 0.195 0.984
0.859 0.141 0.309
0.985 0.015 0.000
0.111 0.889 0.190
0.889 0.111 0.690
0.391 0.609 0.471
0.398 0.602 0.083
0.602 0.398 0.583
0.609 0.391 0.971
0.312 0.688 0.789
0.688 0.312 0.289
```

Computed properties:
The formation energy from the elements comes out at 0.161 eV/atom. Its space group is Cmc2_1.

VASP calculation (PBE) on an optimized crystal structure of NbSnSeBr2.

Geometry as POSCAR:
```
NbSnSeBr2
1.0
5.316 0.000 0.000
0.000 5.316 0.000
0.000 0.000 5.103
Nb Sn Se Br
1 1 1 2
Direct
0.000 0.000 0.000
0.500 0.500 0.500
0.000 0.000 0.500
0.000 0.500 0.000
0.500 0.000 0.000
```

Computed properties:
Its energy above the most stable polymorph in this dataset is 0.00 eV/f.u. Its space group is P4/mmm. For the formation energy without anion corrections, the calculation gives -53 kJ/mol of formula units.

VASP calculation (PBE) on an optimized crystal structure of MgCdIn2Pb.

Geometry as POSCAR:
```
MgCdIn2Pb
1.0
7.348 0.000 0.000
0.000 4.660 0.000
-0.122 0.000 7.603
Mg Cd In Pb
2 2 4 2
Direct
0.050 0.250 0.149
0.950 0.750 0.851
0.451 0.250 0.340
0.549 0.750 0.660
0.253 0.250 0.771
0.340 0.750 0.050
0.660 0.250 0.950
0.747 0.750 0.229
0.162 0.750 0.455
0.838 0.250 0.545
```

Computed properties:
The formation energy from the elements comes out at 0.001 eV/atom. Its space group is P2_1/m.

VASP calculation (PBE) on an optimized crystal structure of Zr2PtCl.

Geometry as POSCAR:
```
Zr2PtCl
1.0
3.557 0.000 0.000
0.000 3.557 0.000
0.000 0.000 6.307
Zr Pt Cl
2 1 1
Direct
0.000 0.000 0.000
0.500 0.500 0.348
0.500 0.500 0.828
0.000 0.000 0.482
```

Computed properties:
Its energy above the most stable polymorph in this dataset is 0.77 eV/f.u. Its space group is P4mm. For the formation energy without anion corrections, the calculation gives -266 kJ/mol of formula units.

VASP calculation (PBE) on an optimized crystal structure of PaAs12Ru4.

Geometry as POSCAR:
```
PaAs12Ru4
1.0
-4.291 4.291 4.291
4.291 -4.291 4.291
4.291 4.291 -4.291
Pa As Ru
1 12 4
Direct
0.000 0.000 0.000
0.149 0.345 0.494
0.149 0.655 0.804
0.196 0.851 0.345
0.345 0.196 0.851
0.345 0.494 0.149
0.494 0.149 0.345
0.506 0.851 0.655
0.655 0.506 0.851
0.655 0.804 0.149
0.804 0.149 0.655
0.851 0.345 0.196
0.851 0.655 0.506
0.000 0.000 0.500
0.000 0.500 0.000
0.500 0.000 0.000
0.500 0.500 0.500
```

Computed properties:
The formation energy from the elements comes out at -0.417 eV/atom. Its space group is Im-3.

VASP calculation (PBE) on an optimized crystal structure of PuInGe.

Geometry as POSCAR:
```
PuInGe
1.0
1.513 -8.045 0.000
1.513 8.045 0.000
0.000 0.000 5.885
Pu In Ge
2 2 2
Direct
0.136 0.864 0.750
0.864 0.136 0.250
0.336 0.664 0.750
0.664 0.336 0.250
0.500 0.500 0.000
0.500 0.500 0.500
```

Computed properties:
The formation energy from the elements comes out at -0.149 eV/atom. Its energy above the most stable polymorph in this dataset is 0.35 eV/f.u. Its space group is Cmcm.

VASP calculation (PBE) on an optimized crystal structure of TlSb7.

Geometry as POSCAR:
```
TlSb7
1.0
0.000 4.826 4.826
4.826 0.000 4.826
4.826 4.826 0.000
Tl Sb
1 7
Direct
0.000 0.000 0.000
0.000 0.000 0.500
0.000 0.500 0.000
0.000 0.500 0.500
0.500 0.000 0.000
0.500 0.000 0.500
0.500 0.500 0.000
0.500 0.500 0.500
```

Computed properties:
Its space group is Fm-3m. For the formation energy without anion corrections, the calculation gives 215 kJ/mol of formula units.

VASP calculation (PBE) on an optimized crystal structure of LiTbPd4.

Geometry as POSCAR:
```
LiTbPd4
1.0
4.612 -2.003 0.000
4.612 2.003 0.000
-2.014 0.000 5.460
Li Tb Pd
1 1 4
Direct
0.000 0.000 0.000
0.000 0.000 0.500
0.328 0.328 0.162
0.341 0.341 0.689
0.659 0.659 0.311
0.672 0.672 0.838
```

Computed properties:
The formation energy from the elements comes out at -0.571 eV/atom. Its energy above the most stable polymorph in this dataset is 0.41 eV/f.u. Its space group is C2/m.

VASP calculation (PBE) on an optimized crystal structure of Ba4Bi3PbO12.

Geometry as POSCAR:
```
Ba4Bi3PbO12
1.0
5.393 -3.106 0.000
5.393 3.106 0.000
-3.498 0.000 10.177
Ba Bi Pb O
4 3 1 12
Direct
0.127 0.127 0.375
0.370 0.370 0.119
0.630 0.630 0.881
0.873 0.873 0.625
0.252 0.252 0.751
0.500 0.500 0.500
0.748 0.748 0.249
0.000 0.000 0.000
0.094 0.094 0.842
0.099 0.605 0.391
0.106 0.605 0.893
0.395 0.894 0.107
0.395 0.901 0.609
0.410 0.410 0.665
0.590 0.590 0.335
0.605 0.099 0.391
0.605 0.106 0.893
0.894 0.395 0.107
0.901 0.395 0.609
0.906 0.906 0.158
```

Computed properties:
Its energy above the most stable polymorph in this dataset is 0.00 eV/f.u. Its space group is C2/m. For the formation energy without anion corrections, the calculation gives -3443 kJ/mol of formula units.

VASP calculation (PBE) on an optimized crystal structure of LuThGaAg.

Geometry as POSCAR:
```
LuThGaAg
1.0
0.000 3.651 3.651
3.651 0.000 3.651
3.651 3.651 0.000
Lu Th Ga Ag
1 1 1 1
Direct
0.000 0.000 0.000
0.500 0.500 0.500
0.750 0.750 0.750
0.250 0.250 0.250
```

Computed properties:
The formation energy from the elements comes out at -0.261 eV/atom. Its space group is F-43m.

Repeat the second record exactly.
VASP calculation (PBE) on an optimized crystal structure of NbSnSeBr2.

Geometry as POSCAR:
```
NbSnSeBr2
1.0
5.316 0.000 0.000
0.000 5.316 0.000
0.000 0.000 5.103
Nb Sn Se Br
1 1 1 2
Direct
0.000 0.000 0.000
0.500 0.500 0.500
0.000 0.000 0.500
0.000 0.500 0.000
0.500 0.000 0.000
```

Computed properties:
Its energy above the most stable polymorph in this dataset is 0.00 eV/f.u. Its space group is P4/mmm. For the formation energy without anion corrections, the calculation gives -53 kJ/mol of formula units.